Entry 1:
The following is a DFT calculation (PBE) of a relaxed Th2Al4AgPt3 crystal.

Summary:
Formation energy from the elements   -0.938 eV per atom
Space-group type   P-4m2 (115)

a b c (Å): 4.3269 4.3269 10.4429
angles (deg): 90.00 90.00 90.00
Closest atoms and distances in Å follow each position.
Element x y z (fractional)
Th1 0.0000 0.5000 0.2456  6 Pt 3.28-3.43, 8 Al 3.31-3.36, 2 Ag 3.43
Th2 0.5000 0.0000 0.7544  6 Pt 3.28-3.43, 8 Al 3.31-3.36, 2 Ag 3.43
Al1 0.0000 0.0000 0.0000  4 Pt 2.56
Al2 0.0000 0.5000 0.6325  3 Pt 2.46-2.57, 2 Ag 2.57
Al3 0.5000 0.0000 0.3675  3 Pt 2.46-2.57, 2 Ag 2.57
Al4 0.5000 0.5000 0.0000  4 Pt 2.56
Ag1 0.0000 0.0000 0.5000  4 Al 2.57
Pt1 0.0000 0.5000 0.8684  5 Al 2.46-2.56
Pt2 0.5000 0.0000 0.1316  5 Al 2.46-2.56
Pt3 0.5000 0.5000 0.5000  4 Al 2.57

Entry 2:
The following is a DFT calculation (PBE) of a relaxed Na2InH6Ru crystal.

Summary:
E   -35.3 eV/cell
Space-group type   C2/m (12)

a b c (Å): 5.3012 5.3012 5.2841
angles (deg): 119.75 119.75 90.36
Closest atoms and distances in Å follow each position.
Element x y z (fractional)
Na1 0.2494 0.7506 0.0000  12 H 2.63-2.69
Na2 0.7506 0.2494 0.0000  12 H 2.63-2.69
In1 0.5000 0.5000 0.5000  6 H 2.01-2.03
H1 0.2253 0.2253 0.4890  1 Ru 1.73
H2 0.2258 0.2258 0.9601  1 Ru 1.73
H3 0.2297 0.7703 0.5000  1 Ru 1.73
H4 0.7703 0.2297 0.5000  1 Ru 1.73
H5 0.7742 0.7742 0.0399  1 Ru 1.73
H6 0.7747 0.7747 0.5110  1 Ru 1.73
Ru1 0.0000 0.0000 0.5000  6 H 1.73

Entry 3:
The following is a DFT calculation (PBE) of a relaxed Cs2YCu crystal.

Summary:
Offset from the most stable computed form   0.0 meV per atom
Formation energy from the elements   0.626 eV per atom
Space-group type   I-42d (122)

a b c (Å): 13.6269 13.6269 5.4346
angles (deg): 90.00 90.00 90.00
Closest atoms and distances in Å follow each position.
Element x y z (fractional)
Cs1 0.0934 0.2500 0.1250  2 Cu 3.70
Cs2 0.2500 0.5934 0.3750  2 Cu 3.70
Cs3 0.2500 0.9066 0.8750  2 Cu 3.70
Cs4 0.4066 0.2500 0.6250  2 Cu 3.70
Cs5 0.5934 0.7500 0.6250  2 Cu 3.70
Cs6 0.7500 0.0934 0.8750  2 Cu 3.70
Cs7 0.7500 0.4066 0.3750  2 Cu 3.70
Cs8 0.9066 0.7500 0.1250  2 Cu 3.70
Y1 0.0000 0.0000 0.5000  2 Cu 2.72
Y2 0.0000 0.5000 0.7500  2 Cu 2.72
Y3 0.5000 0.0000 0.2500  2 Cu 2.72
Y4 0.5000 0.5000 0.0000  2 Cu 2.72
Cu1 0.0000 0.0000 0.0000  2 Y 2.72
Cu2 0.0000 0.5000 0.2500  2 Y 2.72
Cu3 0.5000 0.0000 0.7500  2 Y 2.72
Cu4 0.5000 0.5000 0.5000  2 Y 2.72

Entry 4:
The following is a DFT calculation (PBE) of a relaxed Er3ZrZn4 crystal.

Summary:
Formation energy from the elements   -0.310 eV per atom
Space-group type   P4/mmm (123)

a b c (Å): 3.4875 3.4875 13.9373
angles (deg): 90.00 90.00 90.00
Closest atoms and distances in Å follow each position.
Element x y z (fractional)
Er1 0.0000 0.0000 0.0000  8 Zn 3.05
Er2 0.0000 0.0000 0.2576  8 Zn 3.05-3.06, 1 Zr 3.38
Er3 0.0000 0.0000 0.7424  8 Zn 3.05-3.06, 1 Zr 3.38
Zr1 0.0000 0.0000 0.5000  8 Zn 2.92
Zn1 0.5000 0.5000 0.1286  8 Er 3.05
Zn2 0.5000 0.5000 0.3882  4 Zr 2.92, 4 Er 3.06, 1 Zn 3.12
Zn3 0.5000 0.5000 0.6118  4 Zr 2.92, 4 Er 3.06, 1 Zn 3.12
Zn4 0.5000 0.5000 0.8714  8 Er 3.05

Entry 5:
The following is a DFT calculation (PBE) of a relaxed Na2SrRuCl8 crystal.

Summary:
Formation energy without anion corrections   -1368 meV/atom
Space-group type   P-1 (2)

a b c (Å): 6.3012 6.4584 8.3316
angles (deg): 89.97 89.97 89.91
Closest atoms and distances in Å follow each position.
Element x y z (fractional)
Na1 0.0007 0.0004 0.2539  4 Cl 2.69-2.91
Na2 0.9993 0.9996 0.7461  4 Cl 2.69-2.91
Sr1 0.5000 0.5000 0.5000  6 Cl 2.79-2.99
Ru1 0.5000 0.5000 0.0000  6 Cl 2.32-2.38
Cl1 0.2184 0.1668 0.5003  2 Na 2.69-2.70, 1 Sr 2.79
Cl2 0.2833 0.6507 0.2021  1 Ru 2.38
Cl3 0.2836 0.6511 0.7980  1 Ru 2.38
Cl4 0.2848 0.2083 0.9999  1 Ru 2.32
Cl5 0.7152 0.7917 0.0001  1 Ru 2.32
Cl6 0.7164 0.3489 0.2020  1 Ru 2.38
Cl7 0.7167 0.3493 0.7979  1 Ru 2.38
Cl8 0.7816 0.8332 0.4997  2 Na 2.69-2.70, 1 Sr 2.79

Entry 6:
The following is a DFT calculation (PBE) of a relaxed SmHoPt6 crystal.

Summary:
Formation energy from the elements   -0.991 eV per atom
Space-group type   P4/mmm (123)

a b c (Å): 4.1403 4.1403 8.2762
angles (deg): 90.00 90.00 90.00
Closest atoms and distances in Å follow each position.
Element x y z (fractional)
Sm1 0.0000 0.0000 0.0000  12 Pt 2.93-2.95
Ho1 0.0000 0.0000 0.5000  12 Pt 2.90-2.93
Pt1 0.0000 0.5000 0.2548  2 Ho 2.90, 8 Pt 2.90-2.95, 2 Sm 2.95
Pt2 0.0000 0.5000 0.7452  2 Ho 2.90, 8 Pt 2.90-2.95, 2 Sm 2.95
Pt3 0.5000 0.0000 0.2548  2 Ho 2.90, 8 Pt 2.90-2.95, 2 Sm 2.95
Pt4 0.5000 0.0000 0.7452  2 Ho 2.90, 8 Pt 2.90-2.95, 2 Sm 2.95
Pt5 0.5000 0.5000 0.0000  4 Sm 2.93, 8 Pt 2.95
Pt6 0.5000 0.5000 0.5000  8 Pt 2.90, 4 Ho 2.93

Entry 7:
The following is a DFT calculation (PBE) of a relaxed Pa6Re3Ge crystal.

Summary:
Formation energy from the elements   0.066 eV per atom
Space-group type   P2_1/c (14)

a b c (Å): 7.4027 7.2091 10.7353
angles (deg): 90.00 125.73 90.00
Closest atoms and distances in Å follow each position.
Element x y z (fractional)
Pa1 0.0312 0.1085 0.2742  3 Re 2.66-2.92, 1 Ge 2.95
Pa2 0.0312 0.3915 0.7742  3 Re 2.66-2.92, 1 Ge 2.95
Pa3 0.2584 0.6911 0.0970  2 Re 2.72-2.77, 1 Ge 2.89
Pa4 0.2584 0.8089 0.5970  2 Re 2.72-2.77, 1 Ge 2.89
Pa5 0.4049 0.1245 0.0513  4 Re 2.86-3.16, 2 Pa 2.87-3.12, 1 Ge 2.93
Pa6 0.4049 0.3755 0.5513  4 Re 2.86-3.16, 2 Pa 2.87-3.12, 1 Ge 2.93
Pa7 0.5951 0.6245 0.4487  4 Re 2.86-3.16, 2 Pa 2.87-3.12, 1 Ge 2.93
Pa8 0.5951 0.8755 0.9487  4 Re 2.86-3.16, 2 Pa 2.87-3.12, 1 Ge 2.93
Pa9 0.7416 0.1911 0.4030  2 Re 2.72-2.77, 1 Ge 2.89
Pa10 0.7416 0.3089 0.9030  2 Re 2.72-2.77, 1 Ge 2.89
Pa11 0.9688 0.6085 0.2258  3 Re 2.66-2.92, 1 Ge 2.95
Pa12 0.9688 0.8915 0.7258  3 Re 2.66-2.92, 1 Ge 2.95
Re1 0.0000 0.0000 0.0000  6 Pa 2.72-2.92
Re2 0.0000 0.5000 0.5000  6 Pa 2.72-2.92
Re3 0.2306 0.1487 0.7044  3 Pa 2.66-2.79
Re4 0.2306 0.3513 0.2044  3 Pa 2.66-2.79
Re5 0.7694 0.6487 0.7956  3 Pa 2.66-2.79
Re6 0.7694 0.8513 0.2956  3 Pa 2.66-2.79
Ge1 0.5000 0.0000 0.5000  6 Pa 2.89-2.95
Ge2 0.5000 0.5000 0.0000  6 Pa 2.89-2.95

Entry 8:
The following is a DFT calculation (PBE) of a relaxed LaNd2ErBi5 crystal.

Summary:
Formation energy from the elements   -0.210 eV per atom
Space-group type   P4/mmm (123)

a b c (Å): 5.3935 5.3935 12.2102
angles (deg): 90.00 90.00 90.00
Closest atoms and distances in Å follow each position.
Element x y z (fractional)
La1 0.0000 0.0000 0.0000  2 Bi 3.07
Nd1 0.5000 0.5000 0.2701  1 Bi 3.30
Nd2 0.5000 0.5000 0.7299  1 Bi 3.30
Er1 0.0000 0.0000 0.5000  4 Bi 2.70
Bi1 0.0000 0.0000 0.2516  1 Er 3.03, 1 La 3.07
Bi2 0.0000 0.0000 0.7484  1 Er 3.03, 1 La 3.07
Bi3 0.0000 0.5000 0.5000  2 Er 2.70
Bi4 0.5000 0.0000 0.5000  2 Er 2.70
Bi5 0.5000 0.5000 0.0000  2 Nd 3.30

no.,calculated density (Mg/m³)
1,10.75
2,4.22
3,2.75
4,8.37
5,2.54
6,17.39
7,14.41
8,7.66